[1]
A relaxed La2MgIn3 crystal, computed with PBE-GGA.

Energy of formation from the pure elements ... -0.465 eV per atom
Crystal system ... orthorhombic

Cell: 6.3502 6.3502 9.5481 Å, 104.07 104.07 105.60°
Atoms (fractional coordinates):
La: 0.2500 0.7500 0.5000
In: 0.8322 0.8322 0.6643
In: 0.6647 0.1671 0.8318
In: 0.1671 0.6647 0.8318
In: 0.3353 0.8329 0.1682
La: 0.7500 0.2500 0.5000
Mg: 0.6675 0.6675 0.3349
La: 0.2488 0.2488 0.0000
La: 0.7512 0.7512 0.0000
In: 0.1678 0.1678 0.3357
Mg: 0.3325 0.3325 0.6651
In: 0.8329 0.3353 0.1682

=====

[2]
A relaxed Na2LiInRu crystal, computed with PBE-GGA.

Energy of formation from the pure elements ... 1.170 eV per atom
Crystal system ... tetragonal

Cell: 5.5762 5.0687 5.5762 Å, 90.00 90.00 90.00°
Atoms (fractional coordinates):
Ru: 0.5000 0.5000 0.5000
Na: 0.5000 0.0000 0.0000
In: 0.0000 0.0000 0.0000
Li: 0.0000 0.5000 0.0000
Na: 0.0000 0.0000 0.5000

=====

[3]
A relaxed Ti3ZnN crystal, computed with PBE-GGA.

Energy relative to the elements, uncorrected ... -0.74 eV per atom
Crystal system ... triclinic
ΔE to the lowest computed polymorph ... 154.6 meV/atom

Cell: 5.2208 5.7101 5.2520 Å, 65.69 80.51 85.15°
Atoms (fractional coordinates):
Ti: 0.0532 0.1347 0.7278
Ti: 0.3532 0.9702 0.2833
Ti: 0.8654 0.7314 0.2955
Ti: 0.7840 0.2549 0.2347
Ti: 0.5966 0.8463 0.7970
Ti: 0.5339 0.3675 0.7131
Zn: 0.0724 0.6170 0.7822
N: 0.7022 0.0526 0.0074
Zn: 0.3030 0.5002 0.2053
N: 0.4309 0.1579 0.5114

=====

[4]
A relaxed YGa2Bi crystal, computed with PBE-GGA.

Energy of formation from the pure elements ... -0.210 eV per atom
Crystal system ... tetragonal

Cell: 8.1520 8.1520 6.5525 Å, 51.53 51.53 90.00°
Atoms (fractional coordinates):
Ga: 0.1151 0.6250 0.2500
Ga: 0.6349 0.1250 0.2500
Y: 0.2500 0.7500 0.5000
Y: 0.5000 0.5000 0.0000
Bi: 0.7500 0.2500 0.5000
Ga: 0.8750 0.8849 0.7500
Bi: 0.0000 0.0000 0.0000
Ga: 0.3750 0.3651 0.7500

=====

[5]
A relaxed InAsCl2 crystal, computed with PBE-GGA.

Energy relative to the elements, uncorrected ... -0.18 eV per atom
Crystal system ... orthorhombic
ΔE to the lowest computed polymorph ... 303.2 meV/atom

Cell: 4.6781 5.4557 4.6729 Å, 67.02 84.94 113.01°
Atoms (fractional coordinates):
Cl: 0.0000 0.0000 0.0000
In: 0.0000 0.5000 0.5000
As: 0.5000 0.5000 0.0000
Cl: 0.5000 0.0000 0.5000

=====

[6]
A relaxed TeRhBr2 crystal, computed with PBE-GGA.

Energy relative to the elements, uncorrected ... -0.08 eV per atom
Crystal system ... orthorhombic

Cell: 7.1347 7.1347 7.1347 Å, 149.20 134.40 56.05°
Atoms (fractional coordinates):
Te: 0.3837 0.8837 0.5000
Rh: 0.5176 0.5176 0.0000
Br: 0.9399 0.9399 0.0000
Br: 0.6588 0.1588 0.5000

=====

[7]
A relaxed B5C7 crystal, computed with PBE-GGA.

Energy of formation from the pure elements ... 0.368 eV per atom
Crystal system ... monoclinic
ΔE to the lowest computed polymorph ... 110.0 meV/atom

Cell: 4.6686 4.6686 7.5786 Å, 114.63 114.63 32.53°
Atoms (fractional coordinates):
C: 0.4924 0.4924 0.3751
B: 0.6659 0.6659 0.3584
B: 0.6784 0.6784 0.8292
B: 0.1698 0.1698 0.1880
C: 0.8430 0.8430 0.5452
C: 0.3433 0.3433 0.1700
C: 0.9916 0.9916 0.9979
C: 0.1554 0.1554 0.6919
B: 0.5244 0.5244 0.9224
B: 0.3031 0.3031 0.6231
C: 0.8382 0.8382 0.0508
C: 0.9945 0.9945 0.4980

=====

[8]
A relaxed CsTiHg2F8 crystal, computed with PBE-GGA.

Energy relative to the elements, uncorrected ... -2.33 eV per atom
Crystal system ... trigonal

Cell: 5.9100 5.9100 8.2972 Å, 69.14 69.14 60.00°
Atoms (fractional coordinates):
F: 0.2362 0.7013 0.3612
F: 0.2987 0.7638 0.6388
F: 0.7021 0.7021 0.8937
F: 0.2979 0.2979 0.1063
F: 0.7638 0.2987 0.6388
Ti: 0.5000 0.5000 0.5000
F: 0.7013 0.2362 0.3612
Hg: 0.7948 0.7948 0.6155
F: 0.2987 0.2987 0.6388
Hg: 0.2052 0.2052 0.3845
F: 0.7013 0.7013 0.3612
Cs: 0.0000 0.0000 0.0000

=====

[9]
A relaxed Tb2DyPt crystal, computed with PBE-GGA.

Energy of formation from the pure elements ... -0.482 eV per atom
Crystal system ... trigonal
ΔE to the lowest computed polymorph ... 226.5 meV/atom

Cell: 3.7811 3.7811 9.7881 Å, 78.86 78.86 60.00°
Atoms (fractional coordinates):
Tb: 0.2703 0.2703 0.1890
Pt: 0.0000 0.0000 0.0000
Dy: 0.5000 0.5000 0.5000
Tb: 0.7297 0.7297 0.8110

=====

[10]
A relaxed TaTl2Pt2 crystal, computed with PBE-GGA.

Energy of formation from the pure elements ... 0.681 eV per atom
Crystal system ... tetragonal

Cell: 8.3472 8.3472 8.3472 Å, 154.43 154.43 36.48°
Atoms (fractional coordinates):
Tl: 0.6082 0.6082 0.0000
Ta: 0.0000 0.0000 0.0000
Tl: 0.3918 0.3918 0.0000
Pt: 0.2500 0.7500 0.5000
Pt: 0.7500 0.2500 0.5000

=====

[11]
A relaxed Ac6Ir2RhCl2 crystal, computed with PBE-GGA.

Energy relative to the elements, uncorrected ... -1.07 eV per atom
Crystal system ... monoclinic

Cell: 7.5759 7.5759 8.0834 Å, 98.95 98.95 120.04°
Atoms (fractional coordinates):
Cl: 0.8323 0.1677 0.0000
Ir: 0.6690 0.3310 0.5000
Ac: 0.5965 0.9294 0.2925
Ac: 0.0706 0.4035 0.7075
Rh: 0.0000 0.0000 0.5000
Ac: 0.9294 0.5965 0.2925
Ac: 0.7327 0.7327 0.7070
Ir: 0.3310 0.6690 0.5000
Ac: 0.4035 0.0706 0.7075
Ac: 0.2673 0.2673 0.2930
Cl: 0.1677 0.8323 0.0000

=====

[12]
A relaxed LaMn crystal, computed with PBE-GGA.

Energy of formation from the pure elements ... 0.589 eV per atom
Crystal system ... trigonal

Cell: 3.4737 10.1556 3.4737 Å, 99.85 60.00 99.85°
Atoms (fractional coordinates):
La: 0.2375 0.7126 0.2375
La: 0.0125 0.0374 0.0125
Mn: 0.7602 0.2807 0.7602
Mn: 0.4898 0.4693 0.4898

=====

[13]
A relaxed ZrCrNi2Rh crystal, computed with PBE-GGA.

Energy of formation from the pure elements ... 1.545 eV per atom
Crystal system ... tetragonal

Cell: 4.5386 4.7070 4.5386 Å, 90.00 90.00 90.00°
Atoms (fractional coordinates):
Rh: 0.0000 0.5000 0.0000
Ni: 0.0000 0.0000 0.5000
Zr: 0.0000 0.0000 0.0000
Ni: 0.5000 0.0000 0.0000
Cr: 0.5000 0.5000 0.5000

=====

[14]
A relaxed PmNd2Se4 crystal, computed with PBE-GGA.

Energy relative to the elements, uncorrected ... -1.83 eV per atom
Crystal system ... monoclinic
ΔE to the lowest computed polymorph ... 26.0 meV/atom

Cell: 4.2485 7.4639 8.2625 Å, 119.22 104.90 90.00°
Atoms (fractional coordinates):
Nd: 0.7280 0.7357 0.4559
Nd: 0.2720 0.2643 0.5441
Se: 0.6376 0.2730 0.2752
Pm: 0.0000 0.0000 0.0000
Se: 0.8774 0.1906 0.7549
Se: 0.1226 0.8094 0.2451
Se: 0.3624 0.7270 0.7248

=====

[15]
A relaxed NaPaGa2O6 crystal, computed with PBE-GGA.

Energy relative to the elements, uncorrected ... -2.45 eV per atom
Crystal system ... monoclinic

Cell: 5.5069 7.1818 7.1818 Å, 88.42 82.79 82.79°
Atoms (fractional coordinates):
Pa: 0.7500 0.7213 0.2787
O: 0.3905 0.5775 0.7124
O: 0.1057 0.6116 0.1700
O: 0.3518 0.2362 0.0054
O: 0.1482 0.9946 0.7638
Ga: 0.1997 0.7889 0.6119
O: 0.6057 0.1700 0.6116
O: 0.6482 0.7638 0.9946
O: 0.6095 0.4225 0.2876
Na: 0.7500 0.0816 0.9184
Pa: 0.2500 0.2787 0.7213
O: 0.1095 0.2876 0.4225
O: 0.3943 0.8300 0.3884
O: 0.8518 0.0054 0.2362
Ga: 0.6997 0.6119 0.7889
O: 0.8943 0.3884 0.8300
Na: 0.2500 0.9184 0.0816
Ga: 0.3003 0.3881 0.2111
Ga: 0.8003 0.2111 0.3881
O: 0.8905 0.7124 0.5775

=====

[16]
A relaxed PuZnOsRh crystal, computed with PBE-GGA.

Energy of formation from the pure elements ... -0.151 eV per atom
Crystal system ... cubic

Cell: 4.5542 4.5542 4.5542 Å, 60.00 60.00 60.00°
Atoms (fractional coordinates):
Pu: 0.2500 0.2500 0.2500
Os: 0.0000 0.0000 0.0000
Rh: 0.5000 0.5000 0.5000
Zn: 0.7500 0.7500 0.7500

=====

[17]
A relaxed Ce2Hg3Pb crystal, computed with PBE-GGA.

Energy of formation from the pure elements ... -0.163 eV per atom
Crystal system ... orthorhombic
ΔE to the lowest computed polymorph ... 150.6 meV/atom

Cell: 3.4489 4.5891 11.4596 Å, 101.55 98.65 90.00°
Atoms (fractional coordinates):
Hg: 0.6943 0.6943 0.3886
Hg: 0.5453 0.5453 0.0907
Hg: 0.3027 0.8027 0.6054
Pb: 0.4608 0.9608 0.9216
Ce: 0.1165 0.1165 0.2330
Ce: 0.8804 0.3804 0.7607

=====

[18]
A relaxed PrInPd4 crystal, computed with PBE-GGA.

Energy of formation from the pure elements ... -0.550 eV per atom
Crystal system ... orthorhombic
ΔE to the lowest computed polymorph ... 101.7 meV/atom

Cell: 4.1207 7.2361 7.9510 Å, 90.00 90.00 90.00°
Atoms (fractional coordinates):
In: 0.0000 0.7608 0.2500
Pr: 0.0000 0.3277 0.2500
Pd: 0.0000 0.0000 0.0000
Pr: 0.0000 0.6723 0.7500
Pd: 0.0000 0.0000 0.5000
Pd: 0.5000 0.6975 0.0315
Pd: 0.5000 0.3025 0.9685
Pd: 0.5000 0.0312 0.2500
Pd: 0.5000 0.3025 0.5315
In: 0.0000 0.2392 0.7500
Pd: 0.5000 0.9688 0.7500
Pd: 0.5000 0.6975 0.4685

=====

[19]
A relaxed ScAs2SeF crystal, computed with PBE-GGA.

Energy relative to the elements, uncorrected ... -0.37 eV per atom
Crystal system ... tetragonal
ΔE to the lowest computed polymorph ... 0.0 meV/atom

Cell: 4.2389 4.2389 5.4643 Å, 90.00 90.00 90.00°
Atoms (fractional coordinates):
F: 0.0000 0.0000 0.0000
As: 0.5000 0.0000 0.0000
Sc: 0.5000 0.5000 0.5000
As: 0.0000 0.5000 0.0000
Se: 0.0000 0.0000 0.5000

=====

[20]
A relaxed C3Se crystal, computed with PBE-GGA.

Energy relative to the elements, uncorrected ... 2.88 eV per atom
Crystal system ... tetragonal
ΔE to the lowest computed polymorph ... 1559.6 meV/atom

Cell: 14.5771 14.5771 14.5771 Å, 169.76 169.76 14.51°
Atoms (fractional coordinates):
C: 0.0000 0.5000 0.5000
C: 0.9104 0.9104 0.0000
C: 0.7500 0.2500 0.5000
C: 0.0896 0.0896 0.0000
C: 0.5000 0.0000 0.5000
C: 0.2500 0.7500 0.5000
Se: 0.3812 0.3812 0.0000
Se: 0.6188 0.6188 0.0000

=====

[21]
A relaxed YFeBr2 crystal, computed with PBE-GGA.

Energy relative to the elements, uncorrected ... -0.21 eV per atom
Crystal system ... cubic
ΔE to the lowest computed polymorph ... 379.4 meV/atom

Cell: 5.0067 5.0067 5.0067 Å, 60.00 60.00 60.00°
Atoms (fractional coordinates):
Br: 0.2500 0.2500 0.2500
Y: 0.5000 0.5000 0.5000
Fe: 0.0000 0.0000 0.0000
Br: 0.7500 0.7500 0.7500

=====

[22]
A relaxed BaLiY crystal, computed with PBE-GGA.

Energy of formation from the pure elements ... 0.271 eV per atom
Crystal system ... trigonal
ΔE to the lowest computed polymorph ... 91.8 meV/atom

Cell: 3.7864 3.7864 8.9074 Å, 90.00 90.00 120.00°
Atoms (fractional coordinates):
Ba: 0.0000 0.0000 0.0086
Li: 0.6667 0.3333 0.3511
Y: 0.3333 0.6667 0.6403

=====

[23]
A relaxed MgIrBr2Cl crystal, computed with PBE-GGA.

Energy relative to the elements, uncorrected ... 0.57 eV per atom
Crystal system ... tetragonal

Cell: 4.9097 5.8191 4.9097 Å, 90.00 90.00 90.00°
Atoms (fractional coordinates):
Mg: 0.0000 0.0000 0.0000
Cl: 0.5000 0.5000 0.5000
Br: 0.5000 0.0000 0.0000
Ir: 0.0000 0.5000 0.0000
Br: 0.0000 0.0000 0.5000

=====

[24]
A relaxed Mn2CoIr crystal, computed with PBE-GGA.

Energy of formation from the pure elements ... 0.023 eV per atom
Crystal system ... tetragonal

Cell: 2.6697 2.6697 7.0631 Å, 90.00 90.00 90.00°
Atoms (fractional coordinates):
Ir: 0.5000 0.5000 0.7472
Mn: 0.0000 0.0000 0.0056
Co: 0.0000 0.0000 0.4945
Mn: 0.5000 0.5000 0.2527

=====

[25]
A relaxed CuNi8Ir2 crystal, computed with PBE-GGA.

Energy of formation from the pure elements ... 0.220 eV per atom
Crystal system ... monoclinic
ΔE to the lowest computed polymorph ... 47.7 meV/atom

Cell: 4.3589 6.5845 7.0909 Å, 62.34 72.39 49.34°
Atoms (fractional coordinates):
Ni: 0.5000 0.8044 0.3912
Ni: 0.7213 0.5314 0.0000
Ir: 0.0000 0.3172 0.3656
Ni: 0.2325 0.8959 0.7272
Ni: 0.7675 0.3769 0.7272
Ir: 0.0000 0.6828 0.6344
Ni: 0.2787 0.4686 0.0000
Ni: 0.7675 0.1041 0.2728
Cu: 0.5000 0.0000 0.0000
Ni: 0.2325 0.6231 0.2728
Ni: 0.5000 0.1956 0.6088

=====

Total energy? In order: -3.7427; -2.1429; -7.4014; -4.3098; -2.9465; -3.5386; -7.7950; -4.3543; -5.4582; -5.0525; -5.9261; -6.4597; -5.8720; -5.8586; -7.1127; -8.6981; -2.9099; -5.2649; -4.5677; -4.9067; -4.7739; -3.1621; -2.5613; -8.5539; -5.9685 eV per atom.